First-principles (PBEsol) data for a relaxed TcMo2As crystal, as listed in Alexandria.

Cell lengths 3.1261, 4.2127, 5.1283 Å; angles 114.25, 107.75, 90.00 degrees
Fractional coordinates of all 4 atoms:
As 0.2467 0.7467 0.4934
Mo 0.9910 0.9910 0.9820
Mo 0.7514 0.2514 0.5028
Tc 0.5109 0.5109 0.0217

Summary:
Its total magnetic moment is 0.0 μB per formula unit. Its symmetry is Imm2, No. 44. The value obtained for the formation energy is -0.01 eV/atom.

=====

First-principles (PBEsol) data for a relaxed LaNi2Pt crystal, as listed in Alexandria.

Cell lengths 3.3491, 3.3491, 5.8258 Å; angles 90.00, 90.00, 90.00 degrees
Fractional coordinates of all 4 atoms:
La 0.5000 0.5000 0.5000
Ni 0.0000 0.0000 0.7990
Ni 0.0000 0.0000 0.2010
Pt 0.5000 0.5000 0.0000

Summary:
Its total magnetic moment is 0.0 μB per formula unit. Its symmetry is P4/mmm, No. 123. The value obtained for the formation energy is -0.12 eV/atom.

=====

First-principles (PBEsol) data for a relaxed LaTaMo2 crystal, as listed in Alexandria.

Cell lengths 3.2345, 5.6192, 4.7257 Å; angles 114.87, 90.00, 106.73 degrees
Fractional coordinates of all 4 atoms:
La 0.7412 0.4824 0.2412
Mo 0.9897 0.9793 0.9897
Mo 0.2668 0.5335 0.7668
Ta 0.5024 0.0047 0.5024

Summary:
For the polymorph energy (0 for the lowest one), the calculation gives 0.164 eV per atom. Its total magnetic moment is 0.0 μB per formula unit. Its symmetry is Imm2, No. 44. The value obtained for the formation energy is 0.51 eV/atom.

=====

First-principles (PBEsol) data for a relaxed Cr2CuTcI crystal, as listed in Alexandria.

Cell lengths 4.5688, 4.5688, 5.1158 Å; angles 90.00, 90.00, 90.00 degrees
Fractional coordinates of all 5 atoms:
I 0.0000 0.0000 0.5000
Cr 0.0000 0.5000 0.0000
Cr 0.5000 0.0000 0.0000
Tc 0.0000 0.0000 0.0000
Cu 0.5000 0.5000 0.5000

Summary:
The raw formation energy comes out at 1.5260 eV per atom. Its total magnetic moment is 6.0 μB per formula unit. Its symmetry is P4/mmm, No. 123.

=====

Per-record electronic total energy, eV/atom: -9.9890 -6.2752 -9.8525 -6.0442